Entry 1:
The following is a PBE-GGA calculation of CeNd2I after structural relaxation, from Alexandria.

Cell lengths 3.699, 3.699, 9.711 Å; angles 90.00, 90.00, 90.00 degrees
Space group P4/mmm (No. 123)
Unique sites:
1 Ce 0.000 0.000 0.000 x1
2 Nd 0.500 0.500 0.254 x2
3 I 0.000 0.000 0.500 x1

Output
Formation energy (no corrections) (eV per atom): -0.286
Offset from the most stable computed form (meV/atom): 32
VASP energy (Ry/atom): -0.334



Entry 2:
The following is a PBE-GGA calculation of Ce2NdI6 after structural relaxation, from Alexandria.

Cell lengths 7.7958, 7.7958, 22.3772 Å; angles 90.00, 90.00, 120.00 degrees
Space group R3 (No. 146, hexagonal axes)
Unique sites:
1 Ce 0.0000 0.0000 0.0000 x3
2 Ce 0.0000 0.0000 0.1661 x3
3 Nd 0.0000 0.0000 0.8363 x3
4 I 0.9999 0.6627 0.0836 x9
5 I 0.0011 0.3255 0.5835 x9

Output
Formation energy (no corrections) (eV per atom): -1.197
Offset from the most stable computed form (meV/atom): 55
VASP energy (Ry/atom): -0.300



Entry 3:
The following is a PBE-GGA calculation of CeNd2I after structural relaxation, from Alexandria.

Cell lengths 3.7973, 3.7973, 32.6114 Å; angles 90.00, 90.00, 120.00 degrees
Space group R3m (No. 160, hexagonal axes)
Unique sites:
1 Ce 0.0000 0.0000 0.0000 x3
2 Nd 0.0000 0.0000 0.5783 x3
3 Nd 0.0000 0.0000 0.7554 x3
4 I 0.0000 0.0000 0.1669 x3

Output
Formation energy (no corrections) (eV per atom): -0.317
Offset from the most stable computed form (meV/atom): 0
VASP energy (Ry/atom): -0.336



Entry 4:
The following is a PBE-GGA calculation of Ce2NdI6 after structural relaxation, from Alexandria.

Cell lengths 17.484, 4.240, 11.519 Å; angles 90.00, 115.17, 90.00 degrees
Space group C2/m (No. 12)
Unique sites:
1 Ce 0.175 0.000 0.346 x4
2 Nd 0.000 0.500 0.000 x2
3 I 0.023 0.500 0.289 x4
4 I 0.146 0.000 0.047 x4
5 I 0.181 0.000 0.627 x4

Output
Formation energy (no corrections) (eV per atom): -1.252
Offset from the most stable computed form (meV/atom): 0
VASP energy (Ry/atom): -0.304



Entry 5:
The following is a PBE-GGA calculation of Ce3NdI8 after structural relaxation, from Alexandria.

Cell lengths 14.769, 8.533, 9.555 Å; angles 90.00, 121.43, 90.00 degrees
Space group C2/m (No. 12)
Unique sites:
1 Ce 0.000 0.000 0.000 x2
2 Ce 0.250 0.250 0.000 x4
3 Nd 0.000 0.500 0.000 x2
4 I 0.002 0.251 0.252 x8
5 I 0.248 0.500 0.747 x4
6 I 0.249 0.000 0.748 x4

Output
Formation energy (no corrections) (eV per atom): -1.245
VASP energy (Ry/atom): -0.306



Entry 6:
The following is a PBE-GGA calculation of CeNd2I after structural relaxation, from Alexandria.

Cell lengths 3.6259, 3.6259, 35.7020 Å; angles 90.00, 90.00, 120.00 degrees
Space group R-3m (No. 166, hexagonal axes)
Unique sites:
1 Ce 0.0000 0.0000 0.0000 x3
2 Nd 0.0000 0.0000 0.0946 x6
3 I 0.0000 0.0000 0.5000 x3

Output
Formation energy (no corrections) (eV per atom): -0.086
Offset from the most stable computed form (meV/atom): 232
VASP energy (Ry/atom): -0.319



Entry 7:
The following is a PBE-GGA calculation of CeNdI6 after structural relaxation, from Alexandria.

Cell lengths 7.8335, 7.8335, 21.4536 Å; angles 90.00, 90.00, 120.00 degrees
Space group R-3 (No. 148, hexagonal axes)
Unique sites:
1 Ce 0.0000 0.0000 0.0000 x3
2 Nd 0.0000 0.0000 0.5000 x3
3 I 0.0013 0.3392 0.2497 x18

Output
Formation energy (no corrections) (eV per atom): -1.324
Offset from the most stable computed form (meV/atom): 19
VASP energy (Ry/atom): -0.281



Entry 8:
The following is a PBE-GGA calculation of CeNdI6 after structural relaxation, from Alexandria.

Cell lengths 7.757, 14.428, 7.737 Å; angles 90.00, 107.72, 90.00 degrees
Space group C2/m (No. 12)
Unique sites:
1 Ce 0.000 0.000 0.000 x2
2 Nd 0.000 0.500 0.500 x2
3 I 0.248 0.350 0.749 x8
4 I 0.249 0.000 0.748 x4

Output
Formation energy (no corrections) (eV per atom): -1.343
Offset from the most stable computed form (meV/atom): 0
VASP energy (Ry/atom): -0.282